1.
# ScNiAs

A geometry-optimized ScNiAs structure (PBE, the Alexandria database).

Geometry as POSCAR:
```
ScNiAs
1.0
4.417 0.000 0.000
0.000 4.647 0.000
0.000 0.000 9.486
Sc Ni As
4 4 4
direct
0.000 0.000 0.000
0.000 0.500 0.500
0.500 0.000 0.500
0.500 0.500 0.000
0.000 0.000 0.321
0.000 0.500 0.821
0.500 0.000 0.821
0.500 0.500 0.321
0.000 0.000 0.701
0.000 0.500 0.201
0.500 0.000 0.201
0.500 0.500 0.701
```

## Properties
Space group: No. 42
Energy of formation: -481 meV/atom

2.
# PH2PbS4

A geometry-optimized PH2PbS4 structure (PBE, the Alexandria database).

Geometry as POSCAR:
```
PH2PbS4
1.0
4.014 -6.222 0.000
4.014 6.222 0.000
-4.003 0.000 5.935
P H Pb S
2 4 2 8
direct
0.000 0.500 0.000
0.500 0.000 0.500
0.000 0.000 0.000
0.000 0.000 0.500
0.000 0.500 0.500
0.500 0.000 0.000
0.500 0.500 0.000
0.500 0.500 0.500
0.129 0.246 0.020
0.176 0.649 0.426
0.246 0.129 0.520
0.351 0.824 0.074
0.649 0.176 0.926
0.754 0.871 0.480
0.824 0.351 0.574
0.871 0.754 0.980
```

## Properties
Calculated total energy: -61.9 eV for the cell shown
Space group: No. 15

3.
# CaRe2Ir

A geometry-optimized CaRe2Ir structure (PBE, the Alexandria database).

Geometry as POSCAR:
```
CaRe2Ir
1.0
2.810 0.000 0.000
0.000 3.835 0.000
0.000 0.000 6.713
Ca Re Ir
1 2 1
direct
0.000 0.000 0.000
0.000 0.000 0.496
0.500 0.500 0.671
0.500 0.500 0.281
```

## Properties
Space group: No. 25
Energy of formation: 311 meV/atom